A plane-wave DFT calculation with PBE+U was carried out for Rb2WO after structural relaxation.

```
data_Rb2WO
_chemical_formula_sum 'Rb8 W4 O4'
_cell_length_a 12.758
_cell_length_b 12.758
_cell_length_c 4.061
_cell_angle_alpha 90.00
_cell_angle_beta 90.00
_cell_angle_gamma 90.00
_symmetry_space_group_name_H-M 'I -4 2 d'
_symmetry_Int_Tables_number 122
_symmetry_space_group_name_Hall 'I -4 2bw'
loop_
_atom_site_label
_atom_site_type_symbol
_atom_site_fract_x
_atom_site_fract_y
_atom_site_fract_z
Rb1 Rb 0.060 0.750 0.125
W1 W 0.000 0.000 0.500
O1 O 0.000 0.000 0.000
```

Computed properties:
Magnetization, μB/cell: 15.0
Final energy, eV per cell: -60.0